[1]
Below is an optimized crystal structure of TlCo2Cu, with properties calculated at the PBE-GGA level.

Values from the calculation:
distance to the lowest polymorph of the same formula	122	meV per atom
E_form	493	meV/atom
mass density	11.43	g/cm3

a = 6.075 Å, b = 6.075 Å, c = 6.075 Å
α = 90.00°, β = 90.00°, γ = 90.00°
Space group Fm-3m (No. 225)
Asymmetric unit:
Tl  0.000  0.000  0.000 (multiplicity 4)
Co  0.250  0.250  0.250 (multiplicity 8)
Cu  0.000  0.000  0.500 (multiplicity 4)

***

[2]
Below is an optimized crystal structure of Y8C3O2, with properties calculated at the PBE-GGA level.

Values from the calculation:
formation energy (no corrections)	-1115	meV per atom
mass density	4.99	g/cm3

a = 12.312 Å, b = 7.156 Å, c = 6.239 Å
α = 90.00°, β = 109.33°, γ = 90.00°
Space group C2/m (No. 12)
Asymmetric unit:
Y  0.118  0.000  0.242 (multiplicity 4)
Y  0.122  0.239  0.759 (multiplicity 8)
Y  0.122  0.500  0.226 (multiplicity 4)
C  0.000  0.000  0.500 (multiplicity 2)
C  0.000  0.254  0.000 (multiplicity 4)
O  0.248  0.000  0.987 (multiplicity 4)

***

[3]
Below is an optimized crystal structure of Tb2Er4C, with properties calculated at the PBE-GGA level.

Values from the calculation:
E_form	120	meV/atom
mass density	8.16	g/cm3

a = 4.795 Å, b = 4.795 Å, c = 17.693 Å
α = 90.00°, β = 90.00°, γ = 90.00°
Space group I4/mmm (No. 139)
Asymmetric unit:
Tb  0.000  0.000  0.174 (multiplicity 4)
Er  0.000  0.000  0.367 (multiplicity 4)
Er  0.000  0.500  0.000 (multiplicity 4)
C  0.000  0.000  0.500 (multiplicity 2)

***

[4]
Below is an optimized crystal structure of Pr4Pt2O, with properties calculated at the PBE-GGA level.

Values from the calculation:
distance to the lowest polymorph of the same formula	0	meV per atom
formation energy (no corrections)	-1390	meV per atom
mass density	8.52	g/cm3

a = 6.924 Å, b = 7.172 Å, c = 7.939 Å
α = 90.00°, β = 106.51°, γ = 90.00°
Space group P2_1/m (No. 11)
Asymmetric unit:
Pr  0.007  0.007  0.252 (multiplicity 4)
Pr  0.437  0.250  0.601 (multiplicity 2)
Pr  0.451  0.250  0.123 (multiplicity 2)
Pt  0.222  0.750  0.549 (multiplicity 2)
Pt  0.229  0.750  0.063 (multiplicity 2)
O  0.240  0.250  0.306 (multiplicity 2)

***

[5]
Below is an optimized crystal structure of Tl2NiH, with properties calculated at the PBE-GGA level.

Values from the calculation:
distance to the lowest polymorph of the same formula	43	meV per atom
mass density	11.06	g/cm3

a = 6.552 Å, b = 6.552 Å, c = 6.552 Å
α = 90.00°, β = 90.00°, γ = 90.00°
Space group Fm-3m (No. 225)
Asymmetric unit:
Tl  0.250  0.250  0.250 (multiplicity 8)
Ni  0.000  0.000  0.000 (multiplicity 4)
H  0.000  0.000  0.500 (multiplicity 4)

***

[6]
Below is an optimized crystal structure of K2TaAg, with properties calculated at the PBE-GGA level.

Values from the calculation:
distance to the lowest polymorph of the same formula	41	meV per atom
E_form	839	meV/atom
mass density	4.26	g/cm3

a = 20.950 Å, b = 2.919 Å, c = 4.802 Å
α = 90.00°, β = 103.04°, γ = 90.00°
Space group C2/m (No. 12)
Asymmetric unit:
K  0.150  0.000  0.146 (multiplicity 4)
Ta  0.000  0.000  0.500 (multiplicity 2)
Ag  0.000  0.500  0.000 (multiplicity 2)